## Mn2In2Ag (PBE)

Data for a relaxed Mn2In2Ag crystal.

```
data_Mn2In2Ag
_chemical_formula_sum 'Mn4 In4 Ag2'
_cell_length_a 7.800
_cell_length_b 7.800
_cell_length_c 3.047
_cell_angle_alpha 90.00
_cell_angle_beta 90.00
_cell_angle_gamma 90.00
_space_group_name_H-M_alt 'P 4/m b m'
_space_group_IT_number 127
_space_group_name_Hall '-P 4 2ab'
loop_
_atom_site_label
_atom_site_type_symbol
_atom_site_fract_x
_atom_site_fract_y
_atom_site_fract_z
Mn1 Mn 0.116 0.384 0.000
In1 In 0.181 0.681 0.500
Ag1 Ag 0.000 0.000 0.000
```

Summary:
For the total energy, the calculation gives -5.047 eV/atom. Its formation energy is 27.65 kJ per mole of atoms.